Computed, not measured: a relaxed BeCoP2O crystal at the GGA+U level of DFT.

Summary:
Space-group type   P4/mmm (123)
Total magnetic moment   1.7 μB per cell
Offset from the most stable computed form   472.9 meV/atom

Unit cell a=4.5861 b=4.5861 c=3.3504 alpha=90.00 beta=90.00 gamma=90.00
Site moments in Bohr magnetons follow the coordinates.
Fractional coordinates of all 5 atoms:
1 P 0.0000 0.5000 0.0000  0.01
2 P 0.5000 0.0000 0.0000  0.01
3 Co 0.0000 0.0000 0.0000  1.32
4 O 0.0000 0.0000 0.5000  0.33
5 Be 0.5000 0.5000 0.5000  0.00